Here is a relaxed structure of BaGaCu2 from Alexandria. Energies are from PBE. Values from VASP.

ΔE_f = -211 meV/atom

```
&SYSTEM
  ibrav = 0, nat = 8, ntyp = 3
/
ATOMIC_SPECIES
Ba 137.33 Ba.upf
Cu 63.55 Cu.upf
Ga 69.72 Ga.upf
ATOMIC_POSITIONS crystal
Ba 0.5000 0.8909 0.0000
Ba 0.0000 0.1091 0.5000
Cu 0.5000 0.4135 0.1884
Cu 0.0000 0.5865 0.3116
Cu 0.5000 0.4135 0.8116
Cu 0.0000 0.5865 0.6884
Ga 0.0000 0.3644 0.0000
Ga 0.5000 0.6356 0.5000
CELL_PARAMETERS angstrom
4.3755 0.0000 0.0000
0.0000 6.1663 0.0000
0.0000 0.0000 6.8170
```



Here is a relaxed structure of Ba4Ga4Cu from Alexandria. Energies are from PBE. Values from VASP.

ΔE_f = -305 meV/atom

```
&SYSTEM
  ibrav = 0, nat = 18, ntyp = 3
/
ATOMIC_SPECIES
Ga 69.72 Ga.upf
Ba 137.33 Ba.upf
Cu 63.55 Cu.upf
ATOMIC_POSITIONS crystal
Ga 0.6463 0.9991 0.1511
Ga 0.8537 0.5009 0.3489
Ga 0.8537 0.4991 0.6511
Ga 0.1463 0.3489 0.4991
Ga 0.6463 0.0009 0.8489
Ga 0.1463 0.6511 0.5009
Ga 0.3537 0.8489 0.9991
Ga 0.3537 0.1511 0.0009
Ba 0.6664 0.2053 0.4983
Ba 0.6664 0.7947 0.5017
Ba 0.1664 0.9983 0.2947
Ba 0.1664 0.0017 0.7053
Ba 0.8336 0.7053 0.9983
Ba 0.8336 0.2947 0.0017
Ba 0.3336 0.4983 0.7947
Ba 0.3336 0.5017 0.2053
Cu 0.5000 0.5000 0.5000
Cu 0.0000 0.0000 0.0000
CELL_PARAMETERS angstrom
6.4189 0.0000 0.0000
0.0000 9.6182 0.0000
0.0000 0.0000 9.6182
```



Here is a relaxed structure of BaGa2Cu from Alexandria. Energies are from PBE. Values from VASP.

ΔE_f = -284 meV/atom

```
&SYSTEM
  ibrav = 0, nat = 32, ntyp = 3
/
ATOMIC_SPECIES
Ba 137.33 Ba.upf
Ga 69.72 Ga.upf
Cu 63.55 Cu.upf
ATOMIC_POSITIONS crystal
Ba 0.3141 0.7500 0.1043
Ba 0.6859 0.2500 0.8957
Ba 0.1859 0.7500 0.6043
Ba 0.0016 0.7500 0.3657
Ba 0.9984 0.2500 0.6343
Ba 0.8141 0.2500 0.3957
Ba 0.4984 0.7500 0.8657
Ba 0.5016 0.2500 0.1343
Ga 0.6741 0.5635 0.5473
Ga 0.0087 0.9368 0.7941
Ga 0.5087 0.4368 0.7059
Ga 0.4913 0.5632 0.2941
Ga 0.4913 0.9368 0.2941
Ga 0.3259 0.4365 0.4527
Ga 0.8259 0.5635 0.0473
Ga 0.1741 0.0635 0.9527
Ga 0.9913 0.4368 0.2059
Ga 0.6741 0.9365 0.5473
Ga 0.8259 0.9365 0.0473
Ga 0.3259 0.0635 0.4527
Ga 0.0087 0.5632 0.7941
Ga 0.5087 0.0632 0.7059
Ga 0.1741 0.4365 0.9527
Ga 0.9913 0.0632 0.2059
Cu 0.7859 0.7500 0.1870
Cu 0.7141 0.7500 0.6870
Cu 0.4949 0.2500 0.5698
Cu 0.0051 0.2500 0.0698
Cu 0.9949 0.7500 0.9302
Cu 0.5051 0.7500 0.4302
Cu 0.2141 0.2500 0.8130
Cu 0.2859 0.2500 0.3130
CELL_PARAMETERS angstrom
-3.6286 -4.7928 2.5794
5.8638 -3.0615 2.5604
-1.5257 8.5156 13.6766
```



Here is a relaxed structure of Ba2GaCu3Ge4 from Alexandria. Energies are from PBE. Values from VASP.

ΔE_f = -332 meV/atom

```
&SYSTEM
  ibrav = 0, nat = 10, ntyp = 4
/
ATOMIC_SPECIES
Ge 72.64 Ge.upf
Ga 69.72 Ga.upf
Cu 63.55 Cu.upf
Ba 137.33 Ba.upf
ATOMIC_POSITIONS crystal
Ge 0.5000 0.5000 0.0000
Ge 0.0000 0.5000 0.3657
Ge 0.5000 0.0000 0.6343
Ge 0.0000 0.0000 0.0000
Ga 0.5000 0.5000 0.5000
Cu 0.0000 0.0000 0.5000
Cu 0.0000 0.5000 0.1213
Cu 0.5000 0.0000 0.8787
Ba 0.5000 0.0000 0.2491
Ba 0.0000 0.5000 0.7509
CELL_PARAMETERS angstrom
-2.5528 -1.7445 3.1531
-2.8850 -1.3259 -3.0693
5.2601 -9.3404 -0.9093
```



Here is a relaxed structure of BaGaCuGe2 from Alexandria. Energies are from PBE. Values from VASP.

ΔE_f = 52 meV/atom
polymorph energy (0 for the lowest one) = 392 meV/atom

```
&SYSTEM
  ibrav = 0, nat = 5, ntyp = 4
/
ATOMIC_SPECIES
Ga 69.72 Ga.upf
Cu 63.55 Cu.upf
Ge 72.64 Ge.upf
Ba 137.33 Ba.upf
ATOMIC_POSITIONS crystal
Ga 0.0000 0.0000 0.0000
Cu 0.0000 0.5000 0.0000
Ge 0.0000 0.0000 0.5000
Ge 0.5000 0.0000 0.0000
Ba 0.5000 0.5000 0.5000
CELL_PARAMETERS angstrom
5.1534 0.0000 0.0000
0.0000 4.7292 0.0000
0.0000 0.0000 5.1534
```



Here is a relaxed structure of Ba2Ga4CuGe3 from Alexandria. Energies are from PBE. Values from VASP.

ΔE_f = -340 meV/atom

```
&SYSTEM
  ibrav = 0, nat = 10, ntyp = 4
/
ATOMIC_SPECIES
Cu 63.55 Cu.upf
Ba 137.33 Ba.upf
Ga 69.72 Ga.upf
Ge 72.64 Ge.upf
ATOMIC_POSITIONS crystal
Cu 0.5000 0.5000 0.5000
Ba 0.5000 0.0000 0.2558
Ba 0.0000 0.5000 0.7442
Ga 0.5000 0.5000 0.0000
Ga 0.5000 0.0000 0.6161
Ga 0.0000 0.0000 0.0000
Ga 0.0000 0.5000 0.3839
Ge 0.5000 0.0000 0.8707
Ge 0.0000 0.0000 0.5000
Ge 0.0000 0.5000 0.1293
CELL_PARAMETERS angstrom
4.6725 0.0000 0.0000
0.0000 4.6725 0.0000
0.0000 0.0000 10.5429
```



Here is a relaxed structure of BaGaCuGe2 from Alexandria. Energies are from PBE. Values from VASP.

ΔE_f = -340 meV/atom
polymorph energy (0 for the lowest one) = 0 meV/atom

```
&SYSTEM
  ibrav = 0, nat = 5, ntyp = 4
/
ATOMIC_SPECIES
Ba 137.33 Ba.upf
Ge 72.64 Ge.upf
Cu 63.55 Cu.upf
Ga 69.72 Ga.upf
ATOMIC_POSITIONS crystal
Ba 0.0000 0.0000 0.0000
Ge 0.6256 0.6256 0.2512
Ge 0.3744 0.3744 0.7488
Cu 0.2500 0.7500 0.5000
Ga 0.7500 0.2500 0.5000
CELL_PARAMETERS angstrom
4.5446 0.0000 0.0000
0.0000 4.5446 0.0000
-2.2723 -2.2723 5.2994
```



Here is a relaxed structure of Ba2GaCuH from Alexandria. Energies are from PBE. Values from VASP.

polymorph energy (0 for the lowest one) = 70 meV/atom

```
&SYSTEM
  ibrav = 0, nat = 5, ntyp = 4
/
ATOMIC_SPECIES
Cu 63.55 Cu.upf
Ga 69.72 Ga.upf
H 1.01 H.upf
Ba 137.33 Ba.upf
ATOMIC_POSITIONS crystal
Cu 0.5000 0.5000 0.5000
Ga 0.0000 0.5000 0.0000
H 0.0000 0.0000 0.0000
Ba 0.5000 0.0000 0.0000
Ba 0.0000 0.0000 0.5000
CELL_PARAMETERS angstrom
-0.0579 -5.6075 -0.4543
1.7073 -0.3264 3.8108
-5.1372 -0.1325 2.2902
```



Here is a relaxed structure of Ba2GaCuH from Alexandria. Energies are from PBE. Values from VASP.

polymorph energy (0 for the lowest one) = 0 meV/atom

```
&SYSTEM
  ibrav = 0, nat = 5, ntyp = 4
/
ATOMIC_SPECIES
Ba 137.33 Ba.upf
Cu 63.55 Cu.upf
H 1.01 H.upf
Ga 69.72 Ga.upf
ATOMIC_POSITIONS crystal
Ba 0.5000 0.0000 0.0000
Ba 0.0000 0.5000 0.0000
Cu 0.0000 0.0000 0.5000
H 0.0000 0.0000 0.0000
Ga 0.5000 0.5000 0.5000
CELL_PARAMETERS angstrom
-2.0370 -0.9540 5.2695
-1.4129 -5.3423 -1.5134
3.5570 -1.2654 1.1460
```



Here is a relaxed structure of Ba2GaCuH from Alexandria. Energies are from PBE. Values from VASP.

polymorph energy (0 for the lowest one) = 239 meV/atom

```
&SYSTEM
  ibrav = 0, nat = 5, ntyp = 4
/
ATOMIC_SPECIES
Ba 137.33 Ba.upf
H 1.01 H.upf
Cu 63.55 Cu.upf
Ga 69.72 Ga.upf
ATOMIC_POSITIONS crystal
Ba 0.5000 0.0000 0.0000
Ba 0.0000 0.0000 0.5000
H 0.5000 0.5000 0.5000
Cu 0.0000 0.0000 0.0000
Ga 0.0000 0.5000 0.0000
CELL_PARAMETERS angstrom
-4.8257 -2.7968 -2.6809
1.6839 -4.0145 1.1568
-3.1076 0.2371 5.3463
```



Here is a relaxed structure of Ba2HfGaCu from Alexandria. Energies are from PBE. Values from VASP.

ΔE_f = 781 meV/atom

```
&SYSTEM
  ibrav = 0, nat = 5, ntyp = 4
/
ATOMIC_SPECIES
Ba 137.33 Ba.upf
Cu 63.55 Cu.upf
Hf 178.49 Hf.upf
Ga 69.72 Ga.upf
ATOMIC_POSITIONS crystal
Ba 0.5000 0.0000 0.0000
Ba 0.0000 0.0000 0.5000
Cu 0.0000 0.5000 0.0000
Hf 0.0000 0.0000 0.0000
Ga 0.5000 0.5000 0.5000
CELL_PARAMETERS angstrom
-1.5609 5.3322 3.0418
-4.1603 -2.0076 1.3844
2.7971 -2.1761 5.2500
```



Here is a relaxed structure of BaGaCuHg2 from Alexandria. Energies are from PBE. Values from VASP.

ΔE_f = -194 meV/atom

```
&SYSTEM
  ibrav = 0, nat = 5, ntyp = 4
/
ATOMIC_SPECIES
Hg 200.59 Hg.upf
Cu 63.55 Cu.upf
Ba 137.33 Ba.upf
Ga 69.72 Ga.upf
ATOMIC_POSITIONS crystal
Hg 0.5000 0.0000 0.0000
Hg 0.0000 0.5000 0.0000
Cu 0.0000 0.0000 0.0000
Ba 0.5000 0.5000 0.5000
Ga 0.0000 0.0000 0.5000
CELL_PARAMETERS angstrom
-1.5578 3.3007 3.7568
-1.2085 -4.0667 3.0719
4.5094 0.0435 1.8316
```



What did the third record say?
Here is a relaxed structure of BaGa2Cu from Alexandria. Energies are from PBE. Values from VASP.

ΔE_f = -284 meV/atom

```
&SYSTEM
  ibrav = 0, nat = 32, ntyp = 3
/
ATOMIC_SPECIES
Ba 137.33 Ba.upf
Ga 69.72 Ga.upf
Cu 63.55 Cu.upf
ATOMIC_POSITIONS crystal
Ba 0.3141 0.7500 0.1043
Ba 0.6859 0.2500 0.8957
Ba 0.1859 0.7500 0.6043
Ba 0.0016 0.7500 0.3657
Ba 0.9984 0.2500 0.6343
Ba 0.8141 0.2500 0.3957
Ba 0.4984 0.7500 0.8657
Ba 0.5016 0.2500 0.1343
Ga 0.6741 0.5635 0.5473
Ga 0.0087 0.9368 0.7941
Ga 0.5087 0.4368 0.7059
Ga 0.4913 0.5632 0.2941
Ga 0.4913 0.9368 0.2941
Ga 0.3259 0.4365 0.4527
Ga 0.8259 0.5635 0.0473
Ga 0.1741 0.0635 0.9527
Ga 0.9913 0.4368 0.2059
Ga 0.6741 0.9365 0.5473
Ga 0.8259 0.9365 0.0473
Ga 0.3259 0.0635 0.4527
Ga 0.0087 0.5632 0.7941
Ga 0.5087 0.0632 0.7059
Ga 0.1741 0.4365 0.9527
Ga 0.9913 0.0632 0.2059
Cu 0.7859 0.7500 0.1870
Cu 0.7141 0.7500 0.6870
Cu 0.4949 0.2500 0.5698
Cu 0.0051 0.2500 0.0698
Cu 0.9949 0.7500 0.9302
Cu 0.5051 0.7500 0.4302
Cu 0.2141 0.2500 0.8130
Cu 0.2859 0.2500 0.3130
CELL_PARAMETERS angstrom
-3.6286 -4.7928 2.5794
5.8638 -3.0615 2.5604
-1.5257 8.5156 13.6766
```